No. 1
Computed, not measured: crystalline Pu2Ru6C at its relaxed geometry at the PBE-GGA level of DFT.

Output
VASP energy = -10.4516 eV/atom
energy relative to the elements = -50 kJ/mol of formula units

Lattice parameters (Å, degrees): 8.164 8.164 8.164 90.00 90.00 90.00
Space group Fm-3m (No. 225)
Asymmetric unit:
Pu1 0.250 0.250 0.250 x8
Ru1 0.000 0.000 0.246 x24
C1 0.000 0.000 0.500 x4

=====

No. 2
Computed, not measured: crystalline PuRu2C at its relaxed geometry at the PBE-GGA level of DFT.

Output
VASP energy = -10.4075 eV/atom
energy relative to the elements = 46 kJ/mol of formula units

Lattice parameters (Å, degrees): 4.910 7.937 3.122 90.00 90.00 90.00
Space group Cmmm (No. 65)
Asymmetric unit:
Pu1 0.000 0.000 0.000 x2
Ru1 0.000 0.334 0.500 x4
C1 0.000 0.500 0.000 x2

=====

No. 3
Computed, not measured: crystalline PuRuC2 at its relaxed geometry at the PBE-GGA level of DFT.

Output
VASP energy = -10.4717 eV/atom
energy relative to the elements = 16 kJ/mol of formula units

Lattice parameters (Å, degrees): 3.596 4.815 6.279 90.00 90.00 90.00
Space group Amm2 (No. 38)
Asymmetric unit:
Pu1 0.000 0.000 0.000 x2
Ru1 0.500 0.000 0.377 x2
C1 0.500 0.144 0.698 x4

=====

No. 4
Computed, not measured: crystalline PuRuC at its relaxed geometry at the PBE-GGA level of DFT.

Output
VASP energy = -10.7383 eV/atom
energy relative to the elements = 60 kJ/mol of formula units

Lattice parameters (Å, degrees): 4.927 4.036 8.920 90.00 90.00 90.00
Space group Pnma (No. 62)
Asymmetric unit:
Pu1 0.145 0.250 0.130 x4
Ru1 0.108 0.750 0.365 x4
C1 0.163 0.250 0.439 x4

=====

No. 5
Computed, not measured: crystalline PuRuC2 at its relaxed geometry at the PBE-GGA level of DFT.

Output
VASP energy = -10.2712 eV/atom
energy relative to the elements = 94 kJ/mol of formula units

Lattice parameters (Å, degrees): 3.3124 3.3124 15.1870 90.00 90.00 120.00
Space group R-3m (No. 166, hexagonal axes)
Asymmetric unit:
Pu1 0.0000 0.0000 0.0000 x3
Ru1 0.0000 0.0000 0.5000 x3
C1 0.0000 0.0000 0.2378 x6

=====

No. 6
Computed, not measured: crystalline PuRu4C2 at its relaxed geometry at the PBE-GGA level of DFT.

Output
VASP energy = -9.7794 eV/atom
energy relative to the elements = 138 kJ/mol of formula units

Lattice parameters (Å, degrees): 3.793 12.699 3.721 90.00 90.00 90.00
Space group Cmmm (No. 65)
Asymmetric unit:
Pu1 0.000 0.000 0.000 x2
Ru1 0.000 0.178 0.500 x4
Ru2 0.000 0.329 0.000 x4
C1 0.000 0.441 0.500 x4

=====

No. 7
Computed, not measured: crystalline PuRu3C at its relaxed geometry at the PBE-GGA level of DFT.

Output
VASP energy = -10.3144 eV/atom
energy relative to the elements = -18 kJ/mol of formula units

Lattice parameters (Å, degrees): 4.168 4.168 4.168 90.00 90.00 90.00
Space group Pm-3m (No. 221)
Asymmetric unit:
Pu1 0.000 0.000 0.000 x1
Ru1 0.000 0.500 0.500 x3
C1 0.500 0.500 0.500 x1

=====

No. 8
Computed, not measured: crystalline PuSiRu2C at its relaxed geometry at the PBE-GGA level of DFT.

Output
energy relative to the elements, uncorrected = -0.416 eV/atom
VASP energy = -9.9225 eV/atom

Lattice parameters (Å, degrees): 3.849 11.189 7.098 90.00 90.00 90.00
Space group Cmcm (No. 63)
Asymmetric unit:
Pu1 0.000 0.050 0.250 x4
Si1 0.000 0.229 0.750 x4
Ru1 0.000 0.335 0.056 x8
C1 0.000 0.500 0.000 x4

=====

No. 9
Computed, not measured: crystalline Pu3CS2 at its relaxed geometry at the PBE-GGA level of DFT.

Output
energy relative to the elements, uncorrected = -1.114 eV/atom
VASP energy = -11.1936 eV/atom

Lattice parameters (Å, degrees): 3.784 5.470 11.629 90.00 90.00 90.00
Space group Immm (No. 71)
Asymmetric unit:
Pu1 0.000 0.000 0.000 x2
Pu2 0.000 0.000 0.356 x4
C1 0.000 0.500 0.000 x2
S1 0.000 0.500 0.326 x4

=====

No. 10
Computed, not measured: crystalline Pu2C2S at its relaxed geometry at the PBE-GGA level of DFT.

Output
energy relative to the elements, uncorrected = -0.693 eV/atom
VASP energy = -10.9412 eV/atom

Lattice parameters (Å, degrees): 13.644 3.888 6.581 90.00 104.15 90.00
Space group C2/c (No. 15)
Asymmetric unit:
Pu1 0.132 0.211 0.153 x8
C1 0.218 0.352 0.536 x8
S1 0.000 0.284 0.750 x4

=====

No. 11
Computed, not measured: crystalline PuCS at its relaxed geometry at the PBE-GGA level of DFT.

Output
energy relative to the elements, uncorrected = -0.152 eV/atom
VASP energy = -9.3799 eV/atom

Lattice parameters (Å, degrees): 4.566 10.172 5.148 90.00 90.00 90.00
Space group Cmcm (No. 63)
Asymmetric unit:
Pu1 0.000 0.196 0.250 x4
C1 0.000 0.277 0.750 x4
S1 0.000 0.100 0.750 x4

=====

No. 12
Computed, not measured: crystalline Pu4Sb2C at its relaxed geometry at the PBE-GGA level of DFT.

Output
energy relative to the elements, uncorrected = -0.446 eV/atom
VASP energy = -11.1313 eV/atom

Lattice parameters (Å, degrees): 4.760 4.760 16.155 90.00 90.00 90.00
Space group I4/mmm (No. 139)
Asymmetric unit:
Pu1 0.000 0.000 0.158 x4
Pu2 0.000 0.500 0.000 x4
Sb1 0.000 0.000 0.358 x4
C1 0.000 0.000 0.000 x2

=====

No. 13
Computed, not measured: crystalline Pu2SbC at its relaxed geometry at the PBE-GGA level of DFT.

Output
energy relative to the elements, uncorrected = -0.109 eV/atom
VASP energy = -10.6118 eV/atom

Lattice parameters (Å, degrees): 4.916 11.367 6.110 90.00 90.00 90.00
Space group Cmcm (No. 63)
Asymmetric unit:
Pu1 0.000 0.000 0.000 x4
Pu2 0.000 0.296 0.250 x4
Sb1 0.000 0.382 0.750 x4
C1 0.000 0.169 0.750 x4

=====

No. 14
Computed, not measured: crystalline Pu2SbC at its relaxed geometry at the PBE-GGA level of DFT.

Output
energy relative to the elements, uncorrected = 0.235 eV/atom
VASP energy = -10.2671 eV/atom

Lattice parameters (Å, degrees): 4.0595 4.0595 16.1822 90.00 90.00 120.00
Space group R-3m (No. 166, hexagonal axes)
Asymmetric unit:
Pu1 0.0000 0.0000 0.1906 x6
Sb1 0.0000 0.0000 0.0000 x3
C1 0.0000 0.0000 0.5000 x3

=====

No. 15
Computed, not measured: crystalline Pu4SbC2 at its relaxed geometry at the PBE-GGA level of DFT.

Output
energy relative to the elements, uncorrected = 0.044 eV/atom
VASP energy = -11.3700 eV/atom

Lattice parameters (Å, degrees): 3.499 12.824 12.456 90.00 90.00 90.00
Space group Cmcm (No. 63)
Asymmetric unit:
Pu1 0.000 0.000 0.000 x4
Pu2 0.000 0.253 0.063 x8
Pu3 0.000 0.424 0.750 x4
Sb1 0.000 0.141 0.750 x4
C1 0.000 0.381 0.570 x8

=====

No. 16
Computed, not measured: crystalline Pu12Sb3C5 at its relaxed geometry at the PBE-GGA level of DFT.

Output
energy relative to the elements, uncorrected = -0.015 eV/atom
VASP energy = -11.5381 eV/atom

Lattice parameters (Å, degrees): 15.763 15.763 15.763 90.00 90.00 90.00
Space group Ia-3d (No. 230)
Asymmetric unit:
Pu1 0.038 0.053 0.644 x96
Sb1 0.000 0.250 0.125 x24
C1 0.000 0.000 0.000 x16
C2 0.000 0.250 0.375 x24

=====

No. 17
Computed, not measured: crystalline Pu2Sc2Sb2C at its relaxed geometry at the PBE-GGA level of DFT.

Output
energy relative to the elements, uncorrected = -0.755 eV/atom
VASP energy = -9.1546 eV/atom

Lattice parameters (Å, degrees): 4.562 4.562 15.665 90.00 90.00 90.00
Space group I4/mmm (No. 139)
Asymmetric unit:
Pu1 0.000 0.000 0.158 x4
Sc1 0.000 0.500 0.000 x4
Sb1 0.000 0.000 0.366 x4
C1 0.000 0.000 0.000 x2

=====

No. 18
Computed, not measured: crystalline Sm2Pu2Sb2C at its relaxed geometry at the PBE-GGA level of DFT.

Output
energy relative to the elements, uncorrected = -0.661 eV/atom
VASP energy = -8.5995 eV/atom

Lattice parameters (Å, degrees): 4.737 4.737 16.439 90.00 90.00 90.00
Space group I4/mmm (No. 139)
Asymmetric unit:
Sm1 0.000 0.000 0.162 x4
Pu1 0.000 0.500 0.000 x4
Sb1 0.000 0.000 0.358 x4
C1 0.000 0.000 0.000 x2

=====

No. 19
Computed, not measured: crystalline Pu2Zr2Sb2C at its relaxed geometry at the PBE-GGA level of DFT.

Output
energy relative to the elements, uncorrected = -0.630 eV/atom
VASP energy = -9.6631 eV/atom

Lattice parameters (Å, degrees): 4.580 4.580 15.794 90.00 90.00 90.00
Space group I4/mmm (No. 139)
Asymmetric unit:
Pu1 0.000 0.000 0.159 x4
Zr1 0.000 0.500 0.000 x4
Sb1 0.000 0.000 0.365 x4
C1 0.000 0.000 0.000 x2

=====

No. 20
Computed, not measured: crystalline PuScC2 at its relaxed geometry at the PBE-GGA level of DFT.

Output
VASP energy = -9.8915 eV/atom
energy relative to the elements = -44 kJ/mol of formula units

Lattice parameters (Å, degrees): 3.4258 3.4258 16.6654 90.00 90.00 120.00
Space group R-3m (No. 166, hexagonal axes)
Asymmetric unit:
Pu1 0.0000 0.0000 0.0000 x3
Sc1 0.0000 0.0000 0.5000 x3
C1 0.0000 0.0000 0.2533 x6

=====

Theoretical density, record by record: 13.50; 12.51; 11.28; 13.37; 12.74; 12.46; 12.82; 10.57; 11.15; 10.68; 8.00; 11.18; 12.10; 13.41; 13.33; 11.37; 8.49; 9.40; 9.28; 9.20 g cm⁻³